Here is NiSbCl2 at its PBEsol-relaxed geometry from the Alexandria database. Energies are from SCAN.

Cell and atoms, written as CIF:
```
data_NiSbCl2
_chemical_formula_sum 'Ni1 Sb1 Cl2'
_cell_length_a 3.1324
_cell_length_b 3.3729
_cell_length_c 8.9255
_cell_angle_alpha 90.00
_cell_angle_beta 90.00
_cell_angle_gamma 117.67
_space_group_name_H-M_alt 'P 1'
_space_group_IT_number 1
loop_
_space_group_symop_operation_xyz
'x,y,z'
loop_
_atom_site_label
_atom_site_type_symbol
_atom_site_fract_x
_atom_site_fract_y
_atom_site_fract_z
_atom_site_occupancy
Sb1 Sb 0.5000 0.0000 0.0000 1
Cl1 Cl 0.0000 0.0000 0.6704 1
Cl2 Cl 0.0000 0.0000 0.3296 1
Ni1 Ni 0.5000 0.0000 0.5000 1
```

Summary:
D(E_F) (states/eV/f.u.): 1.88
VASP energy (eV/atom): -17.57
Symmetry: Cmmm, No. 65
Volume (Å³ per atom): 20.88
Energy above the most stable polymorph in this dataset (eV/f.u.): 0.00